a.
NbTe2NO PBE optimized geometry; DOS(E_F) = 5.29 states/eV per cell
1.0
-5.040 -1.746 -1.250
2.005 -2.684 -4.335
0.546 -3.158 2.208
O N Nb Te
1 1 1 2
direct
0.500 0.500 0.500
0.000 0.000 0.500
0.000 0.000 0.000
0.000 0.500 0.000
0.500 0.000 0.000

=====

b.
NbTe2NO PBE optimized geometry; DOS(E_F) = 4.61 states/eV per cell
1.0
4.725 0.000 0.000
0.000 4.725 0.000
0.000 0.000 3.805
O Te Nb N
1 2 1 1
direct
0.000 0.000 0.000
0.500 0.000 0.000
0.000 0.500 0.000
0.500 0.500 0.500
0.000 0.000 0.500

=====

Which one sits at the top of the stability order? a does.